Record 1
{
  "formula": "KPm4Se5",
  "functional": "PBE",
  "state": "relaxed",
  "lattice_angstrom": [[-1.2820, 1.3463, -3.7822], [-7.4348, 0.2829, 0.2727], [-1.9971, 9.1900, 1.6003]],
  "species": ["Se", "Se", "Se", "Se", "Se", "Pm", "Pm", "Pm", "Pm", "K"],
  "fractional_positions": [[0.0000, 0.5000, 0.5000], [0.7986, 0.0919, 0.3109], [0.2014, 0.9081, 0.6891], [0.3883, 0.3282, 0.8952], [0.6117, 0.6718, 0.1048], [0.1993, 0.3906, 0.2108], [0.8007, 0.6094, 0.7892], [0.4062, 0.7858, 0.4018], [0.5938, 0.2142, 0.5982], [0.0000, 0.0000, 0.0000]],
  "energy_ev_per_atom": -5.53,
  "raw_formation_energy_ev_per_atom": -1.780,
  "crystal_system": "monoclinic"
}



Record 2
{
  "formula": "U2TaRu9",
  "functional": "PBE",
  "state": "relaxed",
  "lattice_angstrom": [[3.9802, 0.0000, 0.0000], [0.0000, 3.9802, 0.0000], [0.0000, 0.0000, 11.8136]],
  "species": ["Ru", "Ru", "Ru", "Ru", "Ru", "Ru", "Ru", "Ru", "Ru", "U", "U", "Ta"],
  "fractional_positions": [[0.5000, 0.0000, 0.8399], [0.5000, 0.5000, 0.0000], [0.0000, 0.5000, 0.1601], [0.5000, 0.0000, 0.1601], [0.0000, 0.5000, 0.8399], [0.5000, 0.5000, 0.3297], [0.0000, 0.5000, 0.5000], [0.5000, 0.5000, 0.6703], [0.5000, 0.0000, 0.5000], [0.0000, 0.0000, 0.3297], [0.0000, 0.0000, 0.6703], [0.0000, 0.0000, 0.0000]],
  "energy_ev_per_atom": -10.10,
  "e_form_mev_per_atom": -276,
  "crystal_system": "tetragonal"
}



What calculated density values result from the calculations? In sequence: 6.1 13.9 g/cm3.